Material: BaScMn2
Method: DFT, GGA-PBE
State: relaxed

Energy above the most stable polymorph in this dataset in meV per atom: 484
Formation enthalpy at 0 K in meV/atom: 825.2
Raw total energy in eV/atom: -5.8232

The structure in CIF format:
```
data_BaScMn2
_cell_length_a 5.228
_cell_length_b 5.228
_cell_length_c 18.391
_cell_angle_alpha 90.00
_cell_angle_beta 90.00
_cell_angle_gamma 90.00
_space_group_name_H-M_alt 'I 41/a m d'
_space_group_IT_number 141
loop_
_space_group_symop_operation_xyz
'x,y,z'
'-x,-y,-z'
'-y+1/4,x+3/4,z+1/4'
'y+1/4,-x+3/4,-z+1/4'
'-x+1/2,-y,z+1/2'
'x+1/2,y,-z+1/2'
'y+1/4,-x+1/4,z+3/4'
'-y+1/4,x+1/4,-z+3/4'
'x,-y,-z'
'-x,y,z'
'-y+1/4,-x+1/4,-z+3/4'
'y+1/4,x+1/4,z+3/4'
'-x+1/2,y,-z+1/2'
'x+1/2,-y,z+1/2'
'y+1/4,x+3/4,-z+1/4'
'-y+1/4,-x+3/4,z+1/4'
'x+1/2,y+1/2,z+1/2'
'-x+1/2,-y+1/2,-z+1/2'
'-y+3/4,x+1/4,z+3/4'
'y+3/4,-x+1/4,-z+3/4'
'-x,-y+1/2,z'
'x,y+1/2,-z'
'y+3/4,-x+3/4,z+1/4'
'-y+3/4,x+3/4,-z+1/4'
'x+1/2,-y+1/2,-z+1/2'
'-x+1/2,y+1/2,z+1/2'
'-y+3/4,-x+3/4,-z+1/4'
'y+3/4,x+3/4,z+1/4'
'-x,y+1/2,-z'
'x,-y+1/2,z'
'y+3/4,x+1/4,-z+3/4'
'-y+3/4,-x+1/4,z+3/4'
loop_
_atom_site_label
_atom_site_fract_x
_atom_site_fract_y
_atom_site_fract_z
_atom_site_occupancy
Ba1 0.000 0.250 0.375 1
Sc1 0.000 0.250 0.875 1
Mn1 0.000 0.000 0.000 1
```